Record 1
{
  "formula": "MgAgAu2",
  "functional": "PBE-GGA",
  "state": "optimized geometry",
  "lattice": [[1.526, 0.881, 9.046], [-1.526, 0.881, 9.046], [0.000, -1.762, 9.046]],
  "species": ["Mg", "Ag", "Au", "Au"],
  "frac_coords": [[0.000, 0.000, 0.000], [0.500, 0.500, 0.500], [0.254, 0.254, 0.254], [0.746, 0.746, 0.746]],
  "formation_energy_ev_per_atom": -0.21
}



Record 2
{
  "formula": "Nb3BiI",
  "functional": "PBE-GGA",
  "state": "optimized geometry",
  "lattice": [[5.261, 0.000, 0.000], [0.000, 5.261, 0.000], [0.000, 0.000, 5.261]],
  "species": ["Nb", "Nb", "Nb", "Bi", "I"],
  "frac_coords": [[0.000, 0.000, 0.500], [0.000, 0.500, 0.000], [0.500, 0.000, 0.000], [0.000, 0.000, 0.000], [0.500, 0.500, 0.500]],
  "polymorph_energy_ev_per_atom": 0.439,
  "e_form_raw_ev_per_atom": 1.90
}



Record 3
{
  "formula": "Li2AcThSe4",
  "functional": "PBE-GGA",
  "state": "optimized geometry",
  "lattice": [[7.048, 0.000, 0.000], [0.000, 4.242, 0.000], [-2.587, 0.000, 6.959]],
  "species": ["Li", "Li", "Ac", "Th", "Se", "Se", "Se", "Se"],
  "frac_coords": [[0.000, 0.000, 0.000], [0.000, 0.500, 0.500], [0.500, 0.000, 0.500], [0.500, 0.500, 0.000], [0.228, 0.500, 0.227], [0.233, 0.000, 0.757], [0.767, 0.000, 0.243], [0.772, 0.500, 0.773]],
  "e_form_raw_ev_per_atom": -1.55
}



Record 4
{
  "formula": "La2InOs",
  "functional": "PBE-GGA",
  "state": "optimized geometry",
  "lattice": [[3.460, 0.000, 0.000], [0.000, 3.519, 0.000], [0.000, 0.000, 8.897]],
  "species": ["La", "La", "In", "Os"],
  "frac_coords": [[0.000, 0.000, 0.201], [0.000, 0.000, 0.799], [0.500, 0.500, 0.500], [0.500, 0.500, 0.000]],
  "formation_energy_ev_per_atom": -0.22
}



Record 5
{
  "formula": "BeCdP2",
  "functional": "PBE-GGA",
  "state": "optimized geometry",
  "lattice": [[0.000, 3.148, 3.148], [3.148, 0.000, 3.148], [3.148, 3.148, 0.000]],
  "species": ["Be", "Cd", "P", "P"],
  "frac_coords": [[0.000, 0.000, 0.000], [0.750, 0.750, 0.750], [0.250, 0.250, 0.250], [0.500, 0.500, 0.500]],
  "polymorph_energy_ev_per_atom": 0.682,
  "formation_energy_ev_per_atom": 0.75
}



Record 6
{
  "formula": "RbAlO2",
  "functional": "PBE-GGA",
  "state": "optimized geometry",
  "lattice": [[3.884, -5.086, 0.000], [3.884, 5.086, 0.000], [-2.765, 0.000, 4.153]],
  "species": ["Rb", "Rb", "Al", "Al", "O", "O", "O", "O"],
  "frac_coords": [[0.158, 0.842, 0.750], [0.842, 0.158, 0.250], [0.492, 0.508, 0.250], [0.508, 0.492, 0.750], [0.268, 0.443, 0.866], [0.443, 0.268, 0.366], [0.557, 0.732, 0.634], [0.732, 0.557, 0.134]],
  "e_form_raw_ev_per_atom": -2.40
}



Record 7
{
  "formula": "Ag4Se",
  "functional": "PBE-GGA",
  "state": "optimized geometry",
  "lattice": [[-1.902, 1.902, 7.171], [1.902, -1.902, 7.171], [1.902, 1.902, -7.171]],
  "species": ["Ag", "Ag", "Ag", "Ag", "Se"],
  "frac_coords": [[0.096, 0.096, 0.000], [0.250, 0.750, 0.500], [0.750, 0.250, 0.500], [0.904, 0.904, 0.000], [0.500, 0.500, 0.000]],
  "polymorph_energy_ev_per_atom": 0.192,
  "e_form_raw_ev_per_atom": 0.22
}



Record 8
{
  "formula": "SiAuCl2",
  "functional": "PBE-GGA",
  "state": "optimized geometry",
  "lattice": [[0.000, 3.426, 3.426], [3.426, 0.000, 3.426], [3.426, 3.426, 0.000]],
  "species": ["Si", "Au", "Cl", "Cl"],
  "frac_coords": [[0.000, 0.000, 0.000], [0.500, 0.500, 0.500], [0.250, 0.250, 0.250], [0.750, 0.750, 0.750]],
  "polymorph_energy_ev_per_atom": 0.773,
  "e_form_raw_ev_per_atom": 0.37
}



Record 9
{
  "formula": "Pm2SmAs",
  "functional": "PBE-GGA",
  "state": "optimized geometry",
  "lattice": [[1.994, 1.151, 9.499], [-1.994, 1.151, 9.499], [0.000, -2.302, 9.499]],
  "species": ["Pm", "Pm", "Sm", "As"],
  "frac_coords": [[0.000, 0.000, 0.000], [0.209, 0.209, 0.209], [0.771, 0.771, 0.771], [0.605, 0.605, 0.605]],
  "polymorph_energy_ev_per_atom": 0.000,
  "formation_energy_ev_per_atom": -0.61
}



Record 10
{
  "formula": "CaAsSBr2",
  "functional": "PBE-GGA",
  "state": "optimized geometry",
  "lattice": [[5.420, 0.000, 0.000], [0.000, 5.420, 0.000], [0.000, 0.000, 6.336]],
  "species": ["Ca", "As", "S", "Br", "Br"],
  "frac_coords": [[0.000, 0.000, 0.000], [0.000, 0.000, 0.500], [0.500, 0.500, 0.500], [0.000, 0.500, 0.000], [0.500, 0.000, 0.000]],
  "polymorph_energy_ev_per_atom": 0.210,
  "e_form_raw_ev_per_atom": 0.01
}



Record 11
{
  "formula": "MgInPb2",
  "functional": "PBE-GGA",
  "state": "optimized geometry",
  "lattice": [[-4.245, 4.245, 3.252], [4.245, -4.245, 3.252], [4.245, 4.245, -3.252]],
  "species": ["Mg", "Mg", "In", "In", "Pb", "Pb", "Pb", "Pb"],
  "frac_coords": [[0.000, 0.000, 0.000], [0.750, 0.250, 0.500], [0.250, 0.750, 0.500], [0.500, 0.500, 0.000], [0.123, 0.625, 0.998], [0.375, 0.373, 0.498], [0.627, 0.125, 0.002], [0.875, 0.877, 0.502]],
  "formation_energy_ev_per_atom": 0.12
}



Record 12
{
  "formula": "EuSnRh",
  "functional": "PBE-GGA",
  "state": "optimized geometry",
  "lattice": [[4.582, 0.000, 0.000], [-2.291, 3.968, 0.000], [0.000, 0.000, 4.063]],
  "species": ["Eu", "Sn", "Rh"],
  "frac_coords": [[0.000, 0.000, 0.000], [0.667, 0.333, 0.500], [0.333, 0.667, 0.500]],
  "formation_energy_ev_per_atom": -0.57
}